Compound: SrCo2PbSe2O2
Source: OQMD
Functional: GGA+U
Structure: relaxed

The space group is P3m1 (No. 156) and the conventional cell measures 4.0158, 4.0158 and 11.7542 Å, with angles of 90.00, 90.00 and 120.00 degrees. The inequivalent atoms are Sr at (0.0000, 0.0000, 0.0000), Co at (0.3333, 0.6667, 0.2739), Co at (0.3333, 0.6667, 0.7801), Pb at (0.6667, 0.3333, 0.5063), Se at (0.0000, 0.0000, 0.7047), Se at (0.6667, 0.3333, 0.1980), O at (0.3333, 0.6667, 0.4345) and O at (0.3333, 0.6667, 0.9389).

Its crystal system is trigonal. Its uncorrected energy is -5.1815 eV per atom. For the magnetic moment, the calculation gives 6.0 μB per cell.